Here is a relaxed Mn2BeHgF crystal from Alexandria via LeMat-Bulk. Energies are from GGA+U.

Results
ΔE to the lowest computed polymorph: 15.784 kcal/mol of atoms
Calculated total energy: -3.41 eV per atom

Cell lengths 5.3124, 5.3124, 4.8130 Å; angles 90.00, 90.00, 90.00 degrees
Last column: nearest neighbours and their distance in Å.
Atoms (fractional coordinates):
Mn1 0.0000 0.5000 0.0000  2 Hg 2.66
Mn2 0.5000 0.0000 0.0000  2 Hg 2.66
Be1 0.0000 0.0000 0.5000  8 Mn 3.58, 4 F 3.76
Hg1 0.5000 0.5000 0.0000  2 F 2.41, 4 Mn 2.66
F1 0.5000 0.5000 0.5000  2 Hg 2.41